1.
The following is a DFT calculation (PBE-GGA) of a geometry-optimized BaCaCl2 structure.

Geometry as POSCAR:
```
BaCaCl2
1.0
0.0000 4.1360 4.1360
4.1360 0.0000 4.1360
4.1360 4.1360 0.0000
Ba Ca Cl
1 1 2
direct
0.0000 0.0000 0.0000
0.2500 0.2500 0.2500
0.5000 0.5000 0.5000
0.7500 0.7500 0.7500
```

Output
total magnetic moment: 0.00 μB/f.u.
formation energy from raw total energies: -887 meV per atom

***

2.
The following is a DFT calculation (PBE-GGA) of a geometry-optimized NiPbBr2 structure.

Geometry as POSCAR:
```
NiPbBr2
1.0
3.3994 0.0000 0.0000
0.0000 3.3994 0.0000
0.0000 0.0000 8.2364
Ni Pb Br
1 1 2
direct
0.0000 0.0000 0.0000
0.0000 0.0000 0.5000
0.5000 0.5000 0.1941
0.5000 0.5000 0.8059
```

Output
total magnetic moment: 1.12 μB/f.u.
formation energy from raw total energies: 184 meV per atom

***

3.
The following is a DFT calculation (PBE-GGA) of a geometry-optimized Ac6PrSm5 structure.

Geometry as POSCAR:
```
Ac6PrSm5
1.0
-2.7433 5.2351 8.1868
2.7433 -5.2351 8.1868
2.7433 5.2351 -8.1868
Ac Pr Sm
6 1 5
direct
0.0821 0.3329 0.7492
0.2484 0.0000 0.2484
0.4163 0.6671 0.7492
0.5837 0.3329 0.2508
0.7516 0.0000 0.7516
0.9179 0.6671 0.2508
0.5000 0.5000 0.0000
0.0000 0.5000 0.5000
0.1671 0.1671 0.0000
0.3332 0.8332 0.5000
0.6668 0.1668 0.5000
0.8329 0.8329 0.0000
```

Output
total magnetic moment: 0.00 μB/f.u.
E_form: 0.03 eV/atom

***

4.
The following is a DFT calculation (PBE-GGA) of a geometry-optimized Co4Te structure.

Geometry as POSCAR:
```
Co4Te
1.0
-2.9185 2.9185 1.8485
2.9185 -2.9185 1.8485
2.9185 2.9185 -1.8485
Co Te
4 1
direct
0.0972 0.6854 0.7827
0.3146 0.0972 0.4118
0.6854 0.9028 0.5882
0.9028 0.3146 0.2173
0.5000 0.5000 0.0000
```

Output
total magnetic moment: 4.87 μB/f.u.
formation energy from raw total energies: 188 meV per atom

***

5.
The following is a DFT calculation (PBE-GGA) of a geometry-optimized Be3BI structure.

Geometry as POSCAR:
```
Be3BI
1.0
4.0513 0.0000 0.0000
0.0000 4.0513 0.0000
0.0000 0.0000 4.0513
Be B I
3 1 1
direct
0.0000 0.0000 0.5000
0.0000 0.5000 0.0000
0.5000 0.0000 0.0000
0.0000 0.0000 0.0000
0.5000 0.5000 0.5000
```

Output
total magnetic moment: 0.00 μB/f.u.
formation energy from raw total energies: 602 meV per atom

***

6.
The following is a DFT calculation (PBE-GGA) of a geometry-optimized KReAu2 structure.

Geometry as POSCAR:
```
KReAu2
1.0
2.6977 0.0000 0.0000
0.0000 4.8070 0.0000
0.0000 0.0000 7.2180
K Re Au
1 1 2
direct
0.0000 0.0000 0.0000
0.5000 0.5000 0.3800
0.0000 0.0000 0.4314
0.5000 0.5000 0.7458
```

Output
total magnetic moment: 0.90 μB/f.u.
E_form: 0.64 eV/atom

***

7.
The following is a DFT calculation (PBE-GGA) of a geometry-optimized Ac3AgB2Pd9 structure.

Geometry as POSCAR:
```
Ac3AgB2Pd9
1.0
6.8588 0.0000 0.0000
-3.4294 5.9399 0.0000
0.0000 0.0000 7.3103
Ac Ag B Pd
3 1 2 9
direct
0.0000 0.0000 0.0000
0.3333 0.6667 0.6630
0.6667 0.3333 0.3370
0.0000 0.0000 0.5000
0.3333 0.6667 0.1282
0.6667 0.3333 0.8718
0.0000 0.5000 0.0000
0.1908 0.3816 0.3034
0.1908 0.8092 0.3034
0.3816 0.1908 0.6966
0.5000 0.0000 0.0000
0.5000 0.5000 0.0000
0.6184 0.8092 0.3034
0.8092 0.1908 0.6966
0.8092 0.6184 0.6966
```

Output
total magnetic moment: 0.00 μB/f.u.
E_form: -0.54 eV/atom

***

8.
The following is a DFT calculation (PBE-GGA) of a geometry-optimized BaAl3Pd structure.

Geometry as POSCAR:
```
BaAl3Pd
1.0
8.4785 0.0000 0.0000
0.0000 6.5495 0.0000
-2.8562 0.0000 8.5043
Ba Al Pd
4 12 4
direct
0.1476 0.0449 0.2124
0.1476 0.4551 0.7124
0.8524 0.5449 0.2876
0.8524 0.9551 0.7876
0.1503 0.5431 0.0797
0.1503 0.9569 0.5797
0.3499 0.5204 0.3701
0.3499 0.9796 0.8701
0.4364 0.1519 0.5934
0.4364 0.3481 0.0934
0.5636 0.6519 0.9066
0.5636 0.8481 0.4066
0.6501 0.0204 0.1299
0.6501 0.4796 0.6299
0.8497 0.0431 0.4203
0.8497 0.4569 0.9203
0.4243 0.7379 0.1157
0.4243 0.7621 0.6157
0.5757 0.2379 0.3843
0.5757 0.2621 0.8843
```

Output
total magnetic moment: 0.00 μB/f.u.
E_form: -0.44 eV/atom